# 1
Material: TaRhCl
Method: DFT, SCAN
State: single point on PBEsol structure

a = 4.2314 Å, b = 4.2314 Å, c = 2.9332 Å
α = 90.00°, β = 90.00°, γ = 120.00°
Last column: nearest neighbours and their distance in Å.
Element x y z (fractional)
Ta 0.0000 0.0000 0.0000  3 Cl 2.44
Rh 0.3333 0.6667 0.5000  6 Ta 2.85, 6 Cl 2.85, 2 Rh 2.93
Cl 0.6667 0.3333 0.0000  3 Ta 2.44

density of states at the Fermi level = 1.4 states/eV/f.u.
total magnetic moment = 0.00 μB per cell
raw formation energy = -0.02 eV per atom
energy relative to the lowest polymorph listed for this composition = 0.000 eV/f.u.



# 2
Material: TaRhCl
Method: DFT, SCAN
State: single point on PBEsol structure

a = 4.2329 Å, b = 4.2329 Å, c = 4.2329 Å
α = 60.00°, β = 60.00°, γ = 60.00°
Last column: nearest neighbours and their distance in Å.
Element x y z (fractional)
Ta 0.0000 0.0000 0.0000  4 Cl 2.59, 4 Rh 2.59
Rh 0.7500 0.7500 0.7500  4 Ta 2.59
Cl 0.2500 0.2500 0.2500  4 Ta 2.59

density of states at the Fermi level = 2.1 states/eV/f.u.
total magnetic moment = 0.00 μB per cell
raw formation energy = 0.26 eV per atom
energy relative to the lowest polymorph listed for this composition = 0.829 eV/f.u.



# 3
Material: TcRhCl3
Method: DFT, SCAN
State: single point on PBEsol structure

a = 4.6861 Å, b = 4.6861 Å, c = 4.6861 Å
α = 90.00°, β = 90.00°, γ = 90.00°
Last column: nearest neighbours and their distance in Å.
Element x y z (fractional)
Tc 0.0000 0.0000 0.0000  12 Cl 3.31
Rh 0.5000 0.5000 0.5000  6 Cl 2.34
Cl 0.0000 0.5000 0.5000  2 Rh 2.34
Cl 0.5000 0.0000 0.5000  2 Rh 2.34
Cl 0.5000 0.5000 0.0000  2 Rh 2.34

density of states at the Fermi level = 2.5 states/eV/f.u.
total magnetic moment = 4.95 μB per cell
raw formation energy = 0.29 eV per atom
energy relative to the lowest polymorph listed for this composition = 0.000 eV/f.u.